Entry 1:
# NbCrMoOs | Alexandria | GGA-PBE | optimized geometry
# - formation energy from the elements (eV per atom) = 0.01
# - E (eV/f.u.) = -41.71
# - N(E_F) (states/eV per cell) = 3.8
# - symmetry = No. 216
data_NbCrMoOs
_space_group_name_H-M_alt 'P 1'
_space_group_IT_number 1
_cell_length_a 4.4088
_cell_length_b 4.4088
_cell_length_c 4.4088
_cell_angle_alpha 60.00
_cell_angle_beta 60.00
_cell_angle_gamma 60.00
loop_
_space_group_symop_operation_xyz
'x,y,z'
loop_
_atom_site_label
_atom_site_type_symbol
_atom_site_fract_x
_atom_site_fract_y
_atom_site_fract_z
Nb1 Nb 0.0000 0.0000 0.0000
Cr1 Cr 0.7500 0.7500 0.7500
Mo1 Mo 0.5000 0.5000 0.5000
Os1 Os 0.2500 0.2500 0.2500

***

Entry 2:
# RbNb2CrMo | Alexandria | GGA-PBE | optimized geometry
# - formation energy from the elements (eV per atom) = 2.93
# - E (eV/f.u.) = -26.89
# - N(E_F) (states/eV per cell) = 6.9
# - symmetry = No. 123
data_RbNb2CrMo
_space_group_name_H-M_alt 'P 1'
_space_group_IT_number 1
_cell_length_a 4.8221
_cell_length_b 4.8221
_cell_length_c 4.3041
_cell_angle_alpha 90.00
_cell_angle_beta 90.00
_cell_angle_gamma 90.00
loop_
_space_group_symop_operation_xyz
'x,y,z'
loop_
_atom_site_label
_atom_site_type_symbol
_atom_site_fract_x
_atom_site_fract_y
_atom_site_fract_z
Rb1 Rb 0.0000 0.0000 0.0000
Nb1 Nb 0.0000 0.5000 0.0000
Nb2 Nb 0.5000 0.0000 0.0000
Cr1 Cr 0.0000 0.0000 0.5000
Mo1 Mo 0.5000 0.5000 0.5000

***

Entry 3:
# NbCrReMo | Alexandria | GGA-PBE | optimized geometry
# - formation energy from the elements (eV per atom) = -0.06
# - E (eV/f.u.) = -43.23
# - N(E_F) (states/eV per cell) = 2.7
# - symmetry = No. 216
data_NbCrReMo
_space_group_name_H-M_alt 'P 1'
_space_group_IT_number 1
_cell_length_a 4.4176
_cell_length_b 4.4176
_cell_length_c 4.4176
_cell_angle_alpha 60.00
_cell_angle_beta 60.00
_cell_angle_gamma 60.00
loop_
_space_group_symop_operation_xyz
'x,y,z'
loop_
_atom_site_label
_atom_site_type_symbol
_atom_site_fract_x
_atom_site_fract_y
_atom_site_fract_z
Nb1 Nb 0.0000 0.0000 0.0000
Cr1 Cr 0.2500 0.2500 0.2500
Re1 Re 0.7500 0.7500 0.7500
Mo1 Mo 0.5000 0.5000 0.5000

***

Entry 4:
# Nb2CrMoRu | Alexandria | GGA-PBE | optimized geometry
# - formation energy from the elements (eV per atom) = 1.04
# - E (eV/f.u.) = -44.66
# - N(E_F) (states/eV per cell) = 5.1
# - symmetry = No. 123
data_Nb2CrMoRu
_space_group_name_H-M_alt 'P 1'
_space_group_IT_number 1
_cell_length_a 4.5656
_cell_length_b 4.5656
_cell_length_c 4.3214
_cell_angle_alpha 90.00
_cell_angle_beta 90.00
_cell_angle_gamma 90.00
loop_
_space_group_symop_operation_xyz
'x,y,z'
loop_
_atom_site_label
_atom_site_type_symbol
_atom_site_fract_x
_atom_site_fract_y
_atom_site_fract_z
Nb1 Nb 0.0000 0.5000 0.0000
Nb2 Nb 0.5000 0.0000 0.0000
Cr1 Cr 0.0000 0.0000 0.0000
Mo1 Mo 0.5000 0.5000 0.5000
Ru1 Ru 0.0000 0.0000 0.5000

***

Entry 5:
# NbCrMo2Se | Alexandria | GGA-PBE | optimized geometry
# - E (eV/f.u.) = -40.16
# - N(E_F) (states/eV per cell) = 4.7
# - uncorrected formation energy (meV/atom) = 936
# - symmetry = No. 123
data_NbCrMo2Se
_space_group_name_H-M_alt 'P 1'
_space_group_IT_number 1
_cell_length_a 4.6195
_cell_length_b 4.6195
_cell_length_c 4.3099
_cell_angle_alpha 90.00
_cell_angle_beta 90.00
_cell_angle_gamma 90.00
loop_
_space_group_symop_operation_xyz
'x,y,z'
loop_
_atom_site_label
_atom_site_type_symbol
_atom_site_fract_x
_atom_site_fract_y
_atom_site_fract_z
Nb1 Nb 0.0000 0.0000 0.0000
Cr1 Cr 0.5000 0.5000 0.0000
Mo1 Mo 0.0000 0.5000 0.5000
Mo2 Mo 0.5000 0.0000 0.5000
Se1 Se 0.5000 0.5000 0.5000